No. 1
# VHgS3 PBE relaxed
data_VHgS3
_chemical_formula_sum 'V1 Hg1 S3'
_cell_length_a 4.938
_cell_length_b 4.938
_cell_length_c 4.938
_cell_angle_alpha 90.00
_cell_angle_beta 90.00
_cell_angle_gamma 90.00
_symmetry_space_group_name_H-M 'P m -3 m'
_symmetry_Int_Tables_number 221
_symmetry_space_group_name_Hall '-P 4 2 3'
loop_
_atom_site_label
_atom_site_fract_x
_atom_site_fract_y
_atom_site_fract_z
V1 0.000 0.000 0.000
Hg1 0.500 0.500 0.500
S1 0.000 0.500 0.500
# Fermi-level density of states   4.62 states/eV per cell
# Energy above the lowest structure with this stoichiometry   1076.1 meV/atom
# Raw formation energy   4.892 eV/f.u.

No. 2
# VHgS4 PBE relaxed
data_VHgS4
_chemical_formula_sum 'V2 Hg2 S8'
_cell_length_a 6.076
_cell_length_b 7.466
_cell_length_c 7.804
_cell_angle_alpha 106.21
_cell_angle_beta 104.49
_cell_angle_gamma 98.49
_symmetry_space_group_name_H-M 'P -1'
_symmetry_Int_Tables_number 2
loop_
_symmetry_equiv_pos_as_xyz
'x,y,z'
'-x,-y,-z'
loop_
_atom_site_label
_atom_site_fract_x
_atom_site_fract_y
_atom_site_fract_z
V1 0.228 0.000 0.000
Hg1 0.256 0.422 0.561
S1 0.036 0.869 0.184
S2 0.082 0.278 0.099
S3 0.399 0.914 0.736
S4 0.496 0.809 0.096
# Raw formation energy   -2.586 eV/f.u.

No. 3
# VHgS PBE relaxed
data_VHgS
_chemical_formula_sum 'V12 Hg12 S12'
_cell_length_a 15.981
_cell_length_b 5.760
_cell_length_c 11.370
_cell_angle_alpha 90.00
_cell_angle_beta 133.01
_cell_angle_gamma 90.00
_symmetry_space_group_name_H-M 'C 1 c 1'
_symmetry_Int_Tables_number 9
loop_
_symmetry_equiv_pos_as_xyz
'x,y,z'
'x,-y,z+1/2'
'x+1/2,y+1/2,z'
'x+1/2,-y+1/2,z+1/2'
loop_
_atom_site_label
_atom_site_fract_x
_atom_site_fract_y
_atom_site_fract_z
V1 0.000 0.108 0.000
V2 0.004 0.387 0.160
V3 0.237 0.220 0.314
Hg1 0.001 0.422 0.427
Hg2 0.011 0.074 0.743
Hg3 0.204 0.429 0.944
S1 0.176 0.031 0.629
S2 0.319 0.472 0.270
S3 0.323 0.005 0.533
# Fermi-level density of states   23.50 states/eV per cell
# Energy above the lowest structure with this stoichiometry   328.1 meV/atom
# Raw formation energy   -0.327 eV/f.u.